## Sr2YFe (PBEsol)

Data for Sr2YFe after structural relaxation.

a b c (Å): 5.486 5.486 5.486
angles (deg): 60.00 60.00 60.00
Fractional positions:
Sr 0.000 0.000 0.000
Sr 0.250 0.250 0.250
Y 0.750 0.750 0.750
Fe 0.500 0.500 0.500

Values from the calculation:
- Total magnetization: 1.83 Bohr magnetons per cell
- DFT total energy: -0.3050 Ry/atom
- Calculated density: 4.6 g cm⁻³
- SG: F-43m


## SrY2Fe (PBEsol)

Data for SrY2Fe after structural relaxation.

a b c (Å): 3.671 8.323 8.323
angles (deg): 28.04 90.00 90.00
Fractional positions:
Sr 0.000 0.000 0.000
Y 0.000 0.313 0.313
Y 0.500 0.679 0.679
Fe 0.500 0.832 0.832

Values from the calculation:
- Total magnetization: 0.54 Bohr magnetons per cell
- DFT total energy: -0.4283 Ry/atom
- E above lowest polymorph: 0 meV/atom
- Calculated density: 4.5 g cm⁻³
- SG: Amm2


Among the records above, which one has the lowest total magnetization?
SrY2Fe